1.
First-principles (GGA-PBE) data for a geometry-optimized Sr2NdAu structure, as listed in Alexandria.

a = 3.7941 Å, b = 3.7941 Å, c = 9.9751 Å
α = 90.00°, β = 90.00°, γ = 90.00°
Last column: nearest neighbours and their distance in Å.
Element x y z (fractional)
Sr (0.0000, 0.0000, 0.8082)  4 Au 3.29
Sr (0.0000, 0.0000, 0.1918)  4 Au 3.29
Nd (0.5000, 0.5000, 0.5000)  4 Nd 3.79, 8 Sr 4.08
Au (0.5000, 0.5000, 0.0000)  8 Sr 3.29

Values from the calculation:
ΔE_f = -25.8 kJ per mole of atoms
offset from the most stable computed form = 0 meV/atom
crystal system = tetragonal
size of the total moment = 0.00 μB per cell
symmetry = P4/mmm, No. 123

***

2.
First-principles (GGA-PBE) data for a geometry-optimized InGaGe2Bi structure, as listed in Alexandria.

a = 5.5676 Å, b = 5.9538 Å, c = 5.5676 Å
α = 90.00°, β = 90.00°, γ = 90.00°
Last column: nearest neighbours and their distance in Å.
Element x y z (fractional)
Bi (0.0000, 0.0000, 0.0000)  4 Ge 2.78, 2 In 2.98
In (0.0000, 0.5000, 0.0000)  2 Bi 2.98
Ga (0.5000, 0.5000, 0.5000)  4 In 3.94, 8 Ge 4.08
Ge (0.0000, 0.0000, 0.5000)  2 Bi 2.78
Ge (0.5000, 0.0000, 0.0000)  2 Bi 2.78

Values from the calculation:
ΔE_f = 87.0 kJ per mole of atoms
crystal system = tetragonal
size of the total moment = 0.00 μB per cell
symmetry = P4/mmm, No. 123

***

3.
First-principles (GGA-PBE) data for a geometry-optimized LaH2S structure, as listed in Alexandria.

a = 4.0043 Å, b = 4.0418 Å, c = 7.0597 Å
α = 90.00°, β = 90.00°, γ = 90.00°
Last column: nearest neighbours and their distance in Å.
Element x y z (fractional)
S (0.5000, 0.0000, 0.7753)  2 H 2.02
S (0.5000, 0.5000, 0.2753)  2 H 2.02
H (0.0000, 0.0000, 0.1136)  2 H 2.30, 3 La 2.31-2.36
H (0.5000, 0.5000, 0.7734)  2 S 2.02
H (0.5000, 0.0000, 0.2734)  2 S 2.02
H (0.0000, 0.5000, 0.6136)  2 H 2.30, 3 La 2.31-2.36
La (0.0000, 0.5000, 0.9408)  5 H 2.31-2.36
La (0.0000, 0.0000, 0.4408)  5 H 2.31-2.36

Values from the calculation:
offset from the most stable computed form = 12 meV/atom
crystal system = orthorhombic
size of the total moment = 0.00 μB per cell
symmetry = Amm2, No. 38

***

4.
First-principles (GGA-PBE) data for a geometry-optimized Cu2IrPb structure, as listed in Alexandria.

a = 3.0395 Å, b = 3.6629 Å, c = 5.9222 Å
α = 90.00°, β = 90.00°, γ = 90.00°
Last column: nearest neighbours and their distance in Å.
Element x y z (fractional)
Pb (0.5000, 0.5000, 0.7500)  8 Cu 2.95, 2 Ir 2.96, 2 Pb 3.04
Ir (0.5000, 0.5000, 0.2500)  8 Cu 2.67, 2 Pb 2.96
Cu (0.0000, 0.0000, 0.0449)  1 Cu 2.43, 4 Ir 2.67
Cu (0.0000, 0.0000, 0.4551)  1 Cu 2.43, 4 Ir 2.67

Values from the calculation:
ΔE_f = 32.8 kJ per mole of atoms
crystal system = orthorhombic
size of the total moment = 0.00 μB per cell
symmetry = Pmmm, No. 47

***

5.
First-principles (GGA-PBE) data for a geometry-optimized U3AuC structure, as listed in Alexandria.

a = 4.6380 Å, b = 4.6380 Å, c = 4.6380 Å
α = 90.00°, β = 90.00°, γ = 90.00°
Last column: nearest neighbours and their distance in Å.
Element x y z (fractional)
Au (0.5000, 0.5000, 0.5000)  12 U 3.28
U (0.0000, 0.5000, 0.0000)  2 C 2.32
U (0.5000, 0.0000, 0.0000)  2 C 2.32
U (0.0000, 0.0000, 0.5000)  2 C 2.32
C (0.0000, 0.0000, 0.0000)  6 U 2.32

Values from the calculation:
ΔE_f = 13.2 kJ per mole of atoms
crystal system = cubic
size of the total moment = 3.45 μB per cell
symmetry = Pm-3m, No. 221

***

6.
First-principles (GGA-PBE) data for a geometry-optimized Rb4Bi5Au2 structure, as listed in Alexandria.

a = 6.0038 Å, b = 8.1094 Å, c = 9.4123 Å
α = 73.06°, β = 90.00°, γ = 90.00°
Last column: nearest neighbours and their distance in Å.
Element x y z (fractional)
Rb (0.5000, 0.7502, 0.3313)  2 Au 3.58, 4 Bi 3.95-3.99
Rb (0.5000, 0.2498, 0.6687)  2 Au 3.58, 4 Bi 3.95-3.99
Rb (0.5000, 0.2701, 0.1848)  2 Au 3.77, 4 Bi 3.82-3.86, 1 Rb 4.04
Rb (0.5000, 0.7299, 0.8152)  2 Au 3.77, 4 Bi 3.82-3.86, 1 Rb 4.04
Bi (0.0000, 0.2947, 0.9280)  2 Au 2.84-3.00, 1 Bi 3.14
Bi (0.0000, 0.0000, 0.5000)  2 Au 2.90, 2 Bi 3.22
Bi (0.0000, 0.4141, 0.3768)  3 Bi 3.03-3.22
Bi (0.0000, 0.7053, 0.0720)  2 Au 2.84-3.00, 1 Bi 3.14
Bi (0.0000, 0.5859, 0.6232)  3 Bi 3.03-3.22
Au (0.0000, 0.0151, 0.8041)  3 Bi 2.84-3.00
Au (0.0000, 0.9849, 0.1959)  3 Bi 2.84-3.00

Values from the calculation:
ΔE_f = -24.3 kJ per mole of atoms
crystal system = monoclinic
size of the total moment = 0.00 μB per cell
symmetry = P2/m, No. 10

***

7.
First-principles (GGA-PBE) data for a geometry-optimized Tb2ErGa3 structure, as listed in Alexandria.

a = 3.5526 Å, b = 5.9467 Å, c = 8.0132 Å
α = 111.78°, β = 102.81°, γ = 90.00°
Last column: nearest neighbours and their distance in Å.
Element x y z (fractional)
Tb (0.6671, 0.1671, 0.3342)  6 Ga 2.97-3.01
Tb (0.3329, 0.8329, 0.6658)  6 Ga 2.97-3.01
Ga (0.3351, 0.3351, 0.6701)  2 Er 2.97, 4 Tb 2.97-3.01
Ga (0.6649, 0.6649, 0.3299)  2 Er 2.97, 4 Tb 2.97-3.01
Ga (0.0000, 0.0000, 0.0000)  2 Er 2.97, 4 Tb 3.00
Er (0.0000, 0.5000, 0.0000)  6 Ga 2.97

Values from the calculation:
ΔE_f = -34.2 kJ per mole of atoms
offset from the most stable computed form = 229 meV/atom
crystal system = orthorhombic
size of the total moment = 0.00 μB per cell
symmetry = Immm, No. 71

***

8.
First-principles (GGA-PBE) data for a geometry-optimized FeHPdAu2 structure, as listed in Alexandria.

a = 4.4749 Å, b = 4.4749 Å, c = 3.3547 Å
α = 90.00°, β = 90.00°, γ = 90.00°
Last column: nearest neighbours and their distance in Å.
Element x y z (fractional)
Fe (0.0000, 0.0000, 0.5000)  2 H 1.68
Au (0.5000, 0.0000, 0.0000)  2 H 2.24
Au (0.0000, 0.5000, 0.0000)  2 H 2.24
H (0.0000, 0.0000, 0.0000)  2 Fe 1.68
Pd (0.5000, 0.5000, 0.5000)  8 Au 2.80

Values from the calculation:
uncorrected energy = -0.1657 Ha/atom
crystal system = tetragonal
size of the total moment = 2.76 μB per cell
symmetry = P4/mmm, No. 123

***

9.
First-principles (GGA-PBE) data for a geometry-optimized YBe2Pb structure, as listed in Alexandria.

a = 4.3376 Å, b = 4.3376 Å, c = 3.9755 Å
α = 90.00°, β = 90.00°, γ = 90.00°
Last column: nearest neighbours and their distance in Å.
Element x y z (fractional)
Be (0.5000, 0.5000, 0.0000)  4 Y 2.94, 4 Pb 2.94, 4 Be 3.07
Be (0.0000, 0.0000, 0.0000)  4 Pb 2.94, 4 Y 2.94, 4 Be 3.07
Pb (0.5000, 0.0000, 0.5000)  8 Be 2.94, 4 Y 3.07
Y (0.0000, 0.5000, 0.5000)  8 Be 2.94, 4 Pb 3.07

Values from the calculation:
ΔE_f = 18.3 kJ per mole of atoms
crystal system = tetragonal
size of the total moment = 0.00 μB per cell
symmetry = P4/mmm, No. 123

***

10.
First-principles (GGA-PBE) data for a geometry-optimized PrZn2Ag structure, as listed in Alexandria.

a = 4.5020 Å, b = 7.1463 Å, c = 10.3243 Å
α = 90.00°, β = 90.00°, γ = 90.00°
Last column: nearest neighbours and their distance in Å.
Element x y z (fractional)
Ag (0.2500, 0.0321, 0.4014)  5 Zn 2.74-3.01, 2 Ag 3.07
Ag (0.7500, 0.4679, 0.9014)  5 Zn 2.74-3.01, 2 Ag 3.07
Ag (0.2500, 0.5321, 0.0986)  5 Zn 2.74-3.01, 2 Ag 3.07
Ag (0.7500, 0.9679, 0.5986)  5 Zn 2.74-3.01, 2 Ag 3.07
Pr (0.7500, 0.2146, 0.1679)  9 Zn 3.08-3.35, 3 Ag 3.28-3.29
Pr (0.2500, 0.2854, 0.6679)  9 Zn 3.08-3.35, 3 Ag 3.28-3.29
Pr (0.7500, 0.7146, 0.3321)  9 Zn 3.08-3.35, 3 Ag 3.28-3.29
Pr (0.2500, 0.7854, 0.8321)  9 Zn 3.08-3.35, 3 Ag 3.28-3.29
Zn (0.7500, 0.7991, 0.0396)  3 Zn 2.62-2.82, 1 Ag 2.76
Zn (0.7500, 0.0898, 0.8548)  3 Zn 2.62-2.82, 2 Ag 2.74-2.78
Zn (0.7500, 0.2991, 0.4604)  3 Zn 2.62-2.82, 1 Ag 2.76
Zn (0.2500, 0.9102, 0.1452)  3 Zn 2.62-2.82, 2 Ag 2.74-2.78
Zn (0.2500, 0.4102, 0.3548)  3 Zn 2.62-2.82, 2 Ag 2.74-2.78
Zn (0.7500, 0.5898, 0.6452)  3 Zn 2.62-2.82, 2 Ag 2.74-2.78
Zn (0.2500, 0.7009, 0.5396)  3 Zn 2.62-2.82, 1 Ag 2.76
Zn (0.2500, 0.2009, 0.9604)  3 Zn 2.62-2.82, 1 Ag 2.76

Values from the calculation:
ΔE_f = -30.0 kJ per mole of atoms
crystal system = orthorhombic
size of the total moment = 0.00 μB per cell
symmetry = Pnma, No. 62